1.
The following is a DFT calculation (GGA-PBE) of a relaxed ZrAgAu crystal.

Calculated values
**Energy above the lowest structure with this stoichiometry**: 28 meV per atom
**Volume**: 58.7 Å³/f.u.
**ρ**: 11.21 g cm⁻³
**Energy relative to the elements**: -299 meV per atom
**Magnetic moment**: 0.00 μB/f.u.

Cell lengths 3.5199, 3.5199, 9.4718 Å; angles 90.00, 90.00, 90.00 degrees
Last column: nearest neighbours and their distance in Å.
Space group P4/nmm (No. 129, origin choice 2)
Symmetry-distinct sites (fractional):
Zr (0.2500, 0.2500, 0.1009) x2  4 Au 2.89, 1 Ag 3.07, 4 Zr 3.14
Ag (0.2500, 0.2500, 0.4250) x2  4 Ag 2.87, 5 Au 2.96-3.01, 1 Zr 3.07
Au (0.2500, 0.2500, 0.7432) x2  4 Zr 2.89, 5 Ag 2.96-3.01

2.
The following is a DFT calculation (GGA-PBE) of a relaxed HgPRuO2 crystal.

Calculated values
**Energy above the lowest structure with this stoichiometry**: 1512 meV per atom
**Volume**: 85.9 Å³/f.u.
**ρ**: 7.04 g cm⁻³
**Formation energy without anion corrections**: 1197 meV/atom
**Magnetic moment**: 3.67 μB/f.u.

Cell lengths 4.0434, 4.0434, 5.2570 Å; angles 90.00, 90.00, 90.00 degrees
Last column: nearest neighbours and their distance in Å.
Space group P4/mmm (No. 123)
Symmetry-distinct sites (fractional):
Hg (0.0000, 0.0000, 0.0000) x1  4 O 2.02
P (0.0000, 0.0000, 0.5000) x1  2 Hg 2.63, 4 Ru 2.86
Ru (0.5000, 0.5000, 0.5000) x1  4 P 2.86
O (0.0000, 0.5000, 0.0000) x2  2 Hg 2.02

3.
The following is a DFT calculation (GGA-PBE) of a relaxed VNiPd crystal.

Calculated values
**Energy above the lowest structure with this stoichiometry**: 7 meV per atom
**Volume**: 39.2 Å³/f.u.
**ρ**: 9.14 g cm⁻³
**Energy relative to the elements**: -226 meV per atom
**Magnetic moment**: 0.00 μB/f.u.

Cell lengths 4.4861, 8.1048, 2.6979 Å; angles 90.00, 126.87, 90.00 degrees
Last column: nearest neighbours and their distance in Å.
Space group C2 (No. 5)
Symmetry-distinct sites (fractional):
V (0.0000, 0.0000, 0.0000) x2  5 Ni 2.55-2.84, 5 Pd 2.63-2.66, 2 V 2.70
Ni (0.0000, 0.6496, 0.0000) x2  5 V 2.55-2.84, 5 Pd 2.64-2.66, 2 Ni 2.70
Pd (0.0000, 0.3242, 0.0000) x2  5 V 2.63-2.66, 5 Ni 2.64-2.66, 2 Pd 2.70

4.
The following is a DFT calculation (GGA-PBE) of a relaxed TaSiRu2 crystal.

Calculated values
**Volume**: 57.8 Å³/f.u.
**ρ**: 11.82 g cm⁻³
**Formation energy without anion corrections**: -373 meV/atom
**Magnetic moment**: 0.00 μB/f.u.

Cell lengths 2.9618, 4.5422, 8.5892 Å; angles 90.00, 90.00, 90.00 degrees
Last column: nearest neighbours and their distance in Å.
Space group Immm (No. 71)
Symmetry-distinct sites (fractional):
Ta (0.0000, 0.0000, 0.0000) x2  4 Si 2.71, 8 Ru 2.80-2.97, 2 Ta 2.96
Si (0.0000, 0.0000, 0.5000) x2  4 Ru 2.43, 4 Ta 2.71
Ru (0.0000, 0.5000, 0.2237) x4  2 Si 2.43

5.
The following is a DFT calculation (GGA-PBE) of a relaxed ZnInCo2 crystal.

Calculated values
**Volume**: 57.7 Å³/f.u.
**ρ**: 8.58 g cm⁻³
**Energy relative to the elements**: 303 meV per atom
**Magnetic moment**: 2.01 μB/f.u.

Cell lengths 2.8745, 2.8745, 24.1960 Å; angles 90.00, 90.00, 120.00 degrees
Last column: nearest neighbours and their distance in Å.
Space group R-3m (No. 166, hexagonal axes)
Symmetry-distinct sites (fractional):
Zn (0.0000, 0.0000, 0.0000) x3  6 Co 2.53
In (0.0000, 0.0000, 0.5000) x3  6 Co 2.69, 6 In 2.87
Co (0.0000, 0.0000, 0.2542) x6  3 Zn 2.53, 3 In 2.69

6.
The following is a DFT calculation (GGA-PBE) of a relaxed BaRe3Sb crystal.

Calculated values
**Energy above the lowest structure with this stoichiometry**: 1681 meV per atom
**Volume**: 128.6 Å³/f.u.
**ρ**: 10.56 g cm⁻³
**Formation energy without anion corrections**: 3725 meV/atom
**Magnetic moment**: 2.85 μB/f.u.

Cell lengths 5.0471, 5.0471, 5.0471 Å; angles 90.00, 90.00, 90.00 degrees
Last column: nearest neighbours and their distance in Å.
Space group Pm-3m (No. 221)
Symmetry-distinct sites (fractional):
Ba (0.0000, 0.0000, 0.0000) x1  6 Re 2.52
Re (0.0000, 0.0000, 0.5000) x3  2 Ba 2.52
Sb (0.5000, 0.5000, 0.5000) x1  12 Re 3.57

7.
The following is a DFT calculation (GGA-PBE) of a relaxed PrNp2NiN4 crystal.

Calculated values
**Volume**: 111.3 Å³/f.u.
**ρ**: 10.88 g cm⁻³
**Formation energy without anion corrections**: -1031 meV/atom
**Magnetic moment**: 5.00 μB/f.u.

Cell lengths 3.4831, 11.2372, 11.3779 Å; angles 90.00, 90.00, 90.00 degrees
Last column: nearest neighbours and their distance in Å.
Space group Cmcm (No. 63)
Symmetry-distinct sites (fractional):
Pr (0.0000, 0.1020, 0.2500) x4  6 N 2.54-2.82
Np (0.0000, 0.3702, 0.0576) x8  6 N 2.24-2.36
Ni (0.0000, 0.1641, 0.7500) x4  4 N 1.96-2.08
N (0.0000, 0.0000, 0.0000) x4  4 Np 2.36
N (0.0000, 0.2622, 0.6081) x8  1 Ni 1.96
N (0.0000, 0.4375, 0.2500) x4  2 Ni 2.08, 2 Np 2.32

8.
The following is a DFT calculation (GGA-PBE) of a relaxed Tb3Pr2Nd4 crystal.

Calculated values
**Energy above the lowest structure with this stoichiometry**: 0 meV per atom
**Volume**: 314.4 Å³/f.u.
**ρ**: 7.05 g cm⁻³
**Energy relative to the elements**: 56 meV per atom
**Magnetic moment**: 0.00 μB/f.u.

Cell lengths 3.6529, 3.6529, 27.2049 Å; angles 90.00, 90.00, 120.00 degrees
Last column: nearest neighbours and their distance in Å.
Space group P3m1 (No. 156)
Symmetry-distinct sites (fractional):
Tb (0.0000, 0.0000, 0.0000) x1  6 Pr 3.56-3.65, 6 Tb 3.65
Tb (0.0000, 0.0000, 0.3418) x1  6 Nd 3.54-3.63, 6 Tb 3.65
Tb (0.6667, 0.3333, 0.6698) x1  6 Nd 3.60-3.61, 6 Tb 3.65
Pr (0.6667, 0.3333, 0.1055) x1  3 Tb 3.56, 1 Nd 3.59, 6 Pr 3.65
Pr (0.6667, 0.3333, 0.8904) x1  3 Tb 3.65, 6 Pr 3.65, 3 Nd 3.73
Nd (0.0000, 0.0000, 0.5621) x1  3 Tb 3.61, 9 Nd 3.65-3.70
Nd (0.0000, 0.0000, 0.7773) x1  3 Tb 3.60, 6 Nd 3.65, 3 Pr 3.73
Nd (0.6667, 0.3333, 0.2373) x1  3 Tb 3.54, 1 Pr 3.59, 6 Nd 3.65
Nd (0.6667, 0.3333, 0.4505) x1  3 Tb 3.63, 9 Nd 3.65-3.70